No. 1
La3ZnPd8: relaxed, GGA-PBE.

Geometry as POSCAR:
```
La3ZnPd8
1.0
5.283 0.000 1.567
2.409 4.702 1.567
0.044 0.027 9.540
La Zn Pd
3 1 8
Cartesian
4.782 2.923 3.256 La
0.149 0.091 9.189 La
3.793 2.319 6.589 La
1.118 0.683 5.919 Zn
3.144 0.293 8.780 Pd
1.683 2.646 4.014 Pd
4.359 2.664 9.570 Pd
0.477 0.291 3.230 Pd
6.256 3.824 7.976 Pd
2.392 1.462 1.624 Pd
1.694 2.664 8.780 Pd
3.122 0.291 4.014 Pd
```

Calculated values
- Symmetry: R3m
- DFT formation energy: -71.0 kJ/mol of atoms


No. 2
POs: relaxed, GGA-PBE.

Geometry as POSCAR:
```
POs
1.0
-1.454 2.041 4.668
1.454 -2.041 4.668
1.454 2.041 -4.668
P Os
2 2
Cartesian
1.454 1.020 -1.011 P
0.000 1.020 5.680 P
1.454 1.020 3.670 Os
0.000 1.020 0.998 Os
```

Calculated values
- Symmetry: Imma
- DFT formation energy: 24.9 kJ/mol of atoms


No. 3
FeAs2Cl: relaxed, GGA-PBE.

Geometry as POSCAR:
```
FeAs2Cl
1.0
-2.838 -1.186 0.764
2.172 -0.193 2.300
-2.578 8.181 3.122
As Fe Cl
2 1 1
Cartesian
-2.498 7.927 3.026 As
-0.811 0.827 2.111 As
-2.290 5.521 3.902 Fe
-1.512 4.797 1.831 Cl
```

Calculated values
- Excess energy over the best structure of this formula in the dataset: 1.357 eV/f.u.
- Symmetry: Cmm2
- Formation energy without anion corrections: 0.207 eV per atom


No. 4
Sr2Ge2Se: relaxed, GGA-PBE.

Geometry as POSCAR:
```
Sr2Ge2Se
1.0
8.442 0.000 0.000
0.000 8.442 0.000
0.000 0.000 4.637
Sr Ge Se
4 4 2
Cartesian
2.525 6.746 0.000 Sr
6.746 5.917 0.000 Sr
5.917 1.696 0.000 Sr
1.696 2.525 0.000 Sr
0.800 5.021 2.319 Ge
5.021 7.642 2.319 Ge
7.642 3.421 2.319 Ge
3.421 0.800 2.319 Ge
0.000 0.000 0.000 Se
4.221 4.221 0.000 Se
```

Calculated values
- Symmetry: P4/mbm
- Formation energy without anion corrections: -0.735 eV per atom


No. 5
Pr2Ga2Ru: relaxed, GGA-PBE.

Geometry as POSCAR:
```
Pr2Ga2Ru
1.0
0.399 -4.442 1.001
-0.646 -3.440 -4.575
9.526 -1.839 -1.523
Pr Ga Ru
4 4 2
Cartesian
3.176 -4.714 -1.314 Pr
8.642 -6.670 -1.738 Pr
6.104 -5.007 -3.783 Pr
0.637 -3.051 -3.359 Pr
5.259 -2.324 -1.974 Ga
8.028 -7.411 -4.780 Ga
4.021 -7.398 -3.123 Ga
1.251 -2.311 -0.317 Ga
6.144 -4.291 -0.620 Ru
3.135 -5.430 -4.477 Ru
```

Calculated values
- Excess energy over the best structure of this formula in the dataset: 0.000 eV/f.u.
- Symmetry: C2/m
- DFT formation energy: -50.0 kJ/mol of atoms


No. 6
Sr2NiAgH: relaxed, GGA-PBE.

Geometry as POSCAR:
```
Sr2NiAgH
1.0
5.440 0.000 0.000
0.000 5.440 0.000
0.000 0.000 3.654
Sr H Ag Ni
2 1 1 1
Cartesian
0.000 2.720 0.000 Sr
2.720 0.000 0.000 Sr
0.000 0.000 0.000 H
2.720 2.720 1.827 Ag
0.000 0.000 1.827 Ni
```

Calculated values
- Symmetry: P4/mmm
- E: -3.25 eV per atom


No. 7
SrReSb: relaxed, GGA-PBE.

Geometry as POSCAR:
```
SrReSb
1.0
-3.101 0.598 1.616
2.666 -1.517 1.782
2.254 6.303 1.992
Re Sb Sr
1 1 1
Cartesian
0.079 0.222 0.070 Re
-0.544 1.667 2.232 Sb
2.284 3.495 3.088 Sr
```

Calculated values
- Excess energy over the best structure of this formula in the dataset: 1.072 eV/f.u.
- Symmetry: P3m1
- Formation energy without anion corrections: 0.591 eV per atom


No. 8
TlSbRu: relaxed, GGA-PBE.

Geometry as POSCAR:
```
TlSbRu
1.0
4.636 0.000 0.000
-2.318 4.014 0.000
0.000 0.000 3.554
Ru Sb Tl
1 1 1
Cartesian
0.000 0.000 0.594 Ru
2.318 1.338 0.592 Sb
0.000 2.676 2.369 Tl
```

Calculated values
- Excess energy over the best structure of this formula in the dataset: 1.350 eV/f.u.
- Symmetry: P-6m2
- Formation energy without anion corrections: 0.472 eV per atom


We obtain D(E_F) values of 5.3 2.4 3.7 0.7 6.0 2.4 3.1 2.2 states/eV per cell for the records listed above, in that order.
We obtain calculated volume values of 236.5 55.4 83.4 330.5 230.7 108.1 76.1 66.1 Å³/cell for the records listed above, in that order.